First-principles (PBE) data for a geometry-optimized Pm12SmY7 structure, as listed in the Alexandria database.

a = 9.9802 Å, b = 9.9802 Å, c = 9.9802 Å
α = 109.47°, β = 109.47°, γ = 109.47°
Last column: nearest neighbours and their distance in Å.
Positions (direct):
Pm: 0.0000 0.2515 0.7485  2 Y 2.88
Pm: 0.0000 0.7485 0.2515  2 Y 2.88
Pm: 0.2515 0.0000 0.7485  2 Y 2.88
Pm: 0.2515 0.2515 0.5031  2 Y 2.88
Pm: 0.2515 0.5031 0.2515  2 Y 2.88
Pm: 0.2515 0.7485 0.0000  2 Y 2.88
Pm: 0.4969 0.7485 0.7485  2 Y 2.88
Pm: 0.5031 0.2515 0.2515  2 Y 2.88
Pm: 0.7485 0.0000 0.2515  2 Y 2.88
Pm: 0.7485 0.2515 0.0000  2 Y 2.88
Pm: 0.7485 0.4969 0.7485  2 Y 2.88
Pm: 0.7485 0.7485 0.4969  2 Y 2.88
Sm: 0.0000 0.0000 0.0000  12 Pm 4.10
Y: 0.0000 0.0000 0.5000  6 Pm 2.88
Y: 0.0000 0.5000 0.0000  6 Pm 2.88
Y: 0.0000 0.5000 0.5000  12 Pm 4.05-4.07
Y: 0.5000 0.0000 0.0000  6 Pm 2.88
Y: 0.5000 0.0000 0.5000  12 Pm 4.05-4.07
Y: 0.5000 0.5000 0.0000  12 Pm 4.05-4.07
Y: 0.5000 0.5000 0.5000  6 Pm 2.88

formation enthalpy at 0 K = 0.687 eV/atom
relative energy among the computed polymorphs = 11.734 eV/f.u.
raw total energy = -0.171 hartree per atom
DOS at the Fermi energy = 26.0 states/eV per cell
crystal system = cubic

First-principles (PBE) data for a geometry-optimized CdIn2Sb structure, as listed in the Alexandria database.

a = 11.1388 Å, b = 3.2519 Å, c = 5.9218 Å
α = 90.00°, β = 98.26°, γ = 90.00°
Last column: nearest neighbours and their distance in Å.
Positions (direct):
Cd: 0.0000 0.0000 0.0000  2 Cd 3.25, 6 In 3.34, 4 Sb 3.38
Cd: 0.5000 0.5000 0.0000  2 Cd 3.25, 6 In 3.34, 4 Sb 3.38
In: 0.2474 0.5000 0.2444  6 In 3.25-3.43, 3 Sb 3.33-3.41, 3 Cd 3.34
In: 0.2526 0.0000 0.7556  6 In 3.25-3.43, 3 Sb 3.33-3.41, 3 Cd 3.34
In: 0.7474 0.0000 0.2444  6 In 3.25-3.43, 3 Sb 3.33-3.41, 3 Cd 3.34
In: 0.7526 0.5000 0.7556  6 In 3.25-3.43, 3 Sb 3.33-3.41, 3 Cd 3.34
Sb: 0.0000 0.5000 0.5000  2 Sb 3.25, 6 In 3.33-3.41, 4 Cd 3.38
Sb: 0.5000 0.0000 0.5000  2 Sb 3.25, 6 In 3.33-3.41, 4 Cd 3.38

uncorrected formation energy = 0.0501 eV per atom
relative energy among the computed polymorphs = 0.052 eV/f.u.
raw total energy = -0.095 hartree per atom
DOS at the Fermi energy = 2.4 states/eV per cell
crystal system = monoclinic

First-principles (PBE) data for a geometry-optimized LiCe2YTe5 structure, as listed in the Alexandria database.

a = 9.6341 Å, b = 9.6341 Å, c = 13.2177 Å
α = 90.00°, β = 90.00°, γ = 153.48°
Last column: nearest neighbours and their distance in Å.
Positions (direct):
Li: 0.0585 0.9415 0.5000  4 Te 2.65-2.88
Li: 0.9415 0.0585 0.0000  4 Te 2.65-2.88
Ce: 0.3745 0.6255 0.3428  8 Te 3.22-3.52
Ce: 0.3930 0.6070 0.7236  8 Te 3.25-3.44
Ce: 0.6070 0.3930 0.2236  8 Te 3.25-3.44
Ce: 0.6255 0.3745 0.8428  8 Te 3.22-3.52
Y: 0.3017 0.6983 0.0488  6 Te 2.96-3.09
Y: 0.6983 0.3017 0.5488  6 Te 2.96-3.09
Te: 0.0021 0.9979 0.8185  1 Li 2.65
Te: 0.1377 0.8623 0.0383  1 Y 3.08, 4 Ce 3.35-3.41
Te: 0.1892 0.8108 0.3856  1 Li 2.88, 2 Y 3.09
Te: 0.2152 0.7848 0.7090  2 Y 3.08, 3 Ce 3.29-3.34
Te: 0.4535 0.5465 0.1090  2 Li 2.65, 1 Y 2.96
Te: 0.5465 0.4535 0.6090  2 Li 2.65, 1 Y 2.96
Te: 0.7848 0.2152 0.2090  2 Y 3.08, 3 Ce 3.29-3.34
Te: 0.8108 0.1892 0.8856  1 Li 2.88, 2 Y 3.09
Te: 0.8623 0.1377 0.5383  1 Y 3.08, 4 Ce 3.35-3.41
Te: 0.9979 0.0021 0.3185  1 Li 2.65

uncorrected formation energy = -1.2869 eV per atom
raw total energy = -0.194 hartree per atom
DOS at the Fermi energy = 28.9 states/eV per cell
crystal system = orthorhombic

First-principles (PBE) data for a geometry-optimized LuScInPt structure, as listed in the Alexandria database.

a = 6.9819 Å, b = 6.9819 Å, c = 6.9819 Å
α = 90.00°, β = 90.00°, γ = 90.00°
Last column: nearest neighbours and their distance in Å.
Positions (direct):
Lu: 0.0000 0.0000 0.0000  4 In 3.02, 4 Pt 3.02
Lu: 0.0000 0.5000 0.5000  4 In 3.02, 4 Pt 3.02
Lu: 0.5000 0.0000 0.5000  4 In 3.02, 4 Pt 3.02
Lu: 0.5000 0.5000 0.0000  4 In 3.02, 4 Pt 3.02
Sc: 0.0000 0.0000 0.5000  4 In 3.02, 4 Pt 3.02
Sc: 0.0000 0.5000 0.0000  4 In 3.02, 4 Pt 3.02
Sc: 0.5000 0.0000 0.0000  4 In 3.02, 4 Pt 3.02
Sc: 0.5000 0.5000 0.5000  4 In 3.02, 4 Pt 3.02
In: 0.2500 0.2500 0.2500  4 Sc 3.02, 4 Lu 3.02
In: 0.2500 0.7500 0.7500  4 Sc 3.02, 4 Lu 3.02
In: 0.7500 0.2500 0.7500  4 Sc 3.02, 4 Lu 3.02
In: 0.7500 0.7500 0.2500  4 Sc 3.02, 4 Lu 3.02
Pt: 0.2500 0.2500 0.7500  4 Lu 3.02, 4 Sc 3.02
Pt: 0.2500 0.7500 0.2500  4 Lu 3.02, 4 Sc 3.02
Pt: 0.7500 0.2500 0.2500  4 Lu 3.02, 4 Sc 3.02
Pt: 0.7500 0.7500 0.7500  4 Lu 3.02, 4 Sc 3.02

formation enthalpy at 0 K = -0.762 eV/atom
raw total energy = -0.208 hartree per atom
DOS at the Fermi energy = 14.6 states/eV per cell
crystal system = cubic

First-principles (PBE) data for a geometry-optimized TaV5Ge6 structure, as listed in the Alexandria database.

a = 7.2123 Å, b = 7.2123 Å, c = 5.6139 Å
α = 92.02°, β = 92.02°, γ = 141.62°
Last column: nearest neighbours and their distance in Å.
Positions (direct):
Ta: 0.0000 0.0000 0.0000  8 Ge 2.67-2.88, 2 V 2.81
V: 0.0000 0.0000 0.5000  6 Ge 2.57-2.71, 2 Ta 2.81
V: 0.3337 0.6663 0.5000  8 Ge 2.60-2.85, 2 V 2.81
V: 0.3384 0.6616 0.0000  8 Ge 2.62-2.91, 2 V 2.81
V: 0.6616 0.3384 0.0000  8 Ge 2.62-2.91, 2 V 2.81
V: 0.6663 0.3337 0.5000  8 Ge 2.60-2.85, 2 V 2.81
Ge: 0.1675 0.8244 0.2538  7 V 2.60-2.91, 1 Ta 2.74, 2 Ge 2.76-2.85
Ge: 0.1756 0.8325 0.7462  7 V 2.60-2.91, 1 Ta 2.74, 2 Ge 2.76-2.85
Ge: 0.4929 0.4929 0.7412  5 V 2.57-2.64, 1 Ta 2.67, 1 Ge 2.72
Ge: 0.5071 0.5071 0.2588  5 V 2.57-2.64, 1 Ta 2.67, 1 Ge 2.72
Ge: 0.8244 0.1675 0.2538  7 V 2.60-2.91, 1 Ta 2.74, 2 Ge 2.76-2.85
Ge: 0.8325 0.1756 0.7462  7 V 2.60-2.91, 1 Ta 2.74, 2 Ge 2.76-2.85

formation enthalpy at 0 K = 0.002 eV/atom
raw total energy = -0.261 hartree per atom
DOS at the Fermi energy = 10.9 states/eV per cell
crystal system = monoclinic

First-principles (PBE) data for a geometry-optimized Tb4Ho2Er structure, as listed in the Alexandria database.

a = 6.1174 Å, b = 6.5041 Å, c = 11.4481 Å
α = 90.00°, β = 104.96°, γ = 90.00°
Last column: nearest neighbours and their distance in Å.
Positions (direct):
Tb: 0.0327 0.2500 0.3618  2 Tb 3.32, 3 Er 3.33-3.44, 3 Ho 3.34-3.46
Tb: 0.1480 0.2500 0.9470  1 Er 3.27, 4 Ho 3.36-3.39, 4 Tb 3.41-3.49
Tb: 0.3470 0.5058 0.2131  5 Tb 3.18-3.49, 1 Er 3.40, 1 Ho 3.47
Tb: 0.3470 0.9942 0.2131  5 Tb 3.18-3.49, 1 Er 3.40, 1 Ho 3.47
Tb: 0.6530 0.0058 0.7869  5 Tb 3.18-3.49, 1 Er 3.40, 1 Ho 3.47
Tb: 0.6530 0.4942 0.7869  5 Tb 3.18-3.49, 1 Er 3.40, 1 Ho 3.47
Tb: 0.8520 0.7500 0.0530  1 Er 3.27, 4 Ho 3.36-3.39, 4 Tb 3.41-3.49
Tb: 0.9673 0.7500 0.6382  2 Tb 3.32, 3 Er 3.33-3.44, 3 Ho 3.34-3.46
Ho: 0.2891 0.7500 0.9250  9 Tb 3.36-3.59
Ho: 0.3924 0.7500 0.5040  6 Tb 3.34-3.64, 2 Er 3.40-3.74, 2 Ho 3.52
Ho: 0.6076 0.2500 0.4960  6 Tb 3.34-3.64, 2 Er 3.40-3.74, 2 Ho 3.52
Ho: 0.7109 0.2500 0.0750  9 Tb 3.36-3.59
Er: 0.1559 0.2500 0.6623  6 Tb 3.27-3.44, 1 Ho 3.40
Er: 0.8441 0.7500 0.3377  6 Tb 3.27-3.44, 1 Ho 3.40

formation enthalpy at 0 K = 0.137 eV/atom
relative energy among the computed polymorphs = 0.684 eV/f.u.
raw total energy = -0.164 hartree per atom
DOS at the Fermi energy = 23.3 states/eV per cell
crystal system = monoclinic

First-principles (PBE) data for a geometry-optimized Sr2CdB2Rh5 structure, as listed in the Alexandria database.

a = 10.2591 Å, b = 10.2591 Å, c = 3.0552 Å
α = 90.00°, β = 90.00°, γ = 90.00°
Last column: nearest neighbours and their distance in Å.
Positions (direct):
Sr: 0.1797 0.3203 0.0000  3 B 2.92-3.13, 10 Rh 3.02-3.09, 2 Sr 3.06
Sr: 0.3203 0.8203 0.0000  3 B 2.92-3.13, 10 Rh 3.02-3.09, 2 Sr 3.06
Sr: 0.6797 0.1797 0.0000  3 B 2.92-3.13, 10 Rh 3.02-3.09, 2 Sr 3.06
Sr: 0.8203 0.6797 0.0000  3 B 2.92-3.13, 10 Rh 3.02-3.09, 2 Sr 3.06
Cd: 0.0000 0.0000 0.0000  8 Rh 2.95, 2 Cd 3.06
Cd: 0.5000 0.5000 0.0000  8 Rh 2.95, 2 Cd 3.06
B: 0.1193 0.6193 0.0000  6 Rh 2.19-2.31
B: 0.3807 0.1193 0.0000  6 Rh 2.19-2.31
B: 0.6193 0.8807 0.0000  6 Rh 2.19-2.31
B: 0.8807 0.3807 0.0000  6 Rh 2.19-2.31
Rh: 0.0000 0.5000 0.5000  4 B 2.31
Rh: 0.0685 0.7640 0.5000  2 B 2.19
Rh: 0.2360 0.0685 0.5000  2 B 2.19
Rh: 0.2640 0.5685 0.5000  2 B 2.19
Rh: 0.4315 0.2640 0.5000  2 B 2.19
Rh: 0.5000 0.0000 0.5000  4 B 2.31
Rh: 0.5685 0.7360 0.5000  2 B 2.19
Rh: 0.7360 0.4315 0.5000  2 B 2.19
Rh: 0.7640 0.9315 0.5000  2 B 2.19
Rh: 0.9315 0.2360 0.5000  2 B 2.19

formation enthalpy at 0 K = -0.353 eV/atom
raw total energy = -0.213 hartree per atom
DOS at the Fermi energy = 8.1 states/eV per cell
crystal system = tetragonal

First-principles (PBE) data for a geometry-optimized Pt2RhW structure, as listed in the Alexandria database.

a = 2.7713 Å, b = 3.9443 Å, c = 5.5761 Å
α = 90.00°, β = 90.00°, γ = 90.00°
Last column: nearest neighbours and their distance in Å.
Positions (direct):
Pt: 0.0000 0.0000 0.0000  2 Rh 2.70-2.87, 6 Pt 2.77-2.81, 4 W 2.79
Pt: 0.5000 0.5000 0.2604  2 W 2.72-2.85, 6 Pt 2.77-2.81, 4 Rh 2.80
Rh: 0.0000 0.0000 0.5154  6 Pt 2.70-2.87, 4 W 2.74, 2 Rh 2.77
W: 0.5000 0.5000 0.7489  6 Pt 2.72-2.85, 4 Rh 2.74, 2 W 2.77

formation enthalpy at 0 K = -0.253 eV/atom
relative energy among the computed polymorphs = 0.200 eV/f.u.
raw total energy = -0.307 hartree per atom
DOS at the Fermi energy = 2.7 states/eV per cell
crystal system = orthorhombic